# 1
Density functional theory data (PBE-GGA) for Na5Tl4Pt2 after structural relaxation.

E ... -2.696 eV/atom
N(E_F) ... 4.583 states/eV/f.u.
Magnetic moment ... 0.0 μB per cell
DFT formation energy ... -0.138 eV per atom

a b c (Å): 8.059 3.628 9.855
angles (deg): 90.00 96.12 90.00
Atoms (fractional coordinates):
Na  0.000  0.000  0.000
Na  0.043  0.000  0.343
Na  0.356  0.000  0.861
Na  0.644  0.000  0.139
Na  0.957  0.000  0.657
Tl  0.296  0.500  0.568
Tl  0.300  0.500  0.154
Tl  0.700  0.500  0.846
Tl  0.704  0.500  0.432
Pt  0.419  0.000  0.364
Pt  0.581  0.000  0.636

# 2
Density functional theory data (PBE-GGA) for NaTl2PtW after structural relaxation.

E ... -4.084 eV/atom
N(E_F) ... 4.775 states/eV/f.u.
Magnetic moment ... 2.4 μB per cell
DFT formation energy ... 0.925 eV per atom

a b c (Å): 5.419 5.419 5.033
angles (deg): 90.00 90.00 90.00
Atoms (fractional coordinates):
Na  0.000  0.000  0.000
Tl  0.000  0.500  0.500
Tl  0.500  0.000  0.500
Pt  0.500  0.500  0.500
W  0.500  0.500  0.000

Repeat the first record exactly.
Density functional theory data (PBE-GGA) for Na5Tl4Pt2 after structural relaxation.

E ... -2.696 eV/atom
N(E_F) ... 4.583 states/eV/f.u.
Magnetic moment ... 0.0 μB per cell
DFT formation energy ... -0.138 eV per atom

a b c (Å): 8.059 3.628 9.855
angles (deg): 90.00 96.12 90.00
Atoms (fractional coordinates):
Na  0.000  0.000  0.000
Na  0.043  0.000  0.343
Na  0.356  0.000  0.861
Na  0.644  0.000  0.139
Na  0.957  0.000  0.657
Tl  0.296  0.500  0.568
Tl  0.300  0.500  0.154
Tl  0.700  0.500  0.846
Tl  0.704  0.500  0.432
Pt  0.419  0.000  0.364
Pt  0.581  0.000  0.636

Q: Among the records above, which one has the highest E?
A: Na5Tl4Pt2

Q: What is the formula in the first record?
A: Na5Tl4Pt2